VASP calculation (PBE) on a relaxed structure of GdScCdPb.

Summary:
Electronic total energy (eV/atom): -6.61
Calculated formation energy (eV/atom): -0.3526

Unit cell a=5.2460 b=5.2460 c=5.2460 alpha=60.00 beta=60.00 gamma=60.00
Closest atoms and distances in Å follow each position.
Atoms (fractional coordinates):
Pb  0.2500  0.2500  0.2500  4 Gd 3.21, 4 Sc 3.21
Sc  0.0000  0.0000  0.0000  4 Cd 3.21, 4 Pb 3.21
Gd  0.5000  0.5000  0.5000  4 Pb 3.21, 4 Cd 3.21
Cd  0.7500  0.7500  0.7500  4 Gd 3.21, 4 Sc 3.21